(1)
# Ca2BeIr PBE-GGA relaxed
# Electronic total energy ... -3.41 eV/atom
# Formation enthalpy at 0 K ... 0.74 eV per atom
# ρ ... 5.3 Mg/m³
data_Ca2BeIr
_chemical_formula_sum 'Ca8 Be4 Ir4'
_space_group_name_H-M_alt 'I -4 2 d'
_space_group_IT_number 122
_space_group_name_Hall 'I -4 2bw'
_cell_length_a 4.3042
_cell_length_b 4.3042
_cell_length_c 19.0015
_cell_angle_alpha 90.00
_cell_angle_beta 90.00
_cell_angle_gamma 90.00
loop_
_atom_site_label
_atom_site_fract_x
_atom_site_fract_y
_atom_site_fract_z
Ca1 0.2410 0.2500 0.1250
Be1 0.0000 0.0000 0.5000
Ir1 0.0000 0.0000 0.0000

(2)
# CaBe3Ir PBE-GGA relaxed
# Electronic total energy ... -4.62 eV/atom
# Energy relative to the lowest polymorph listed for this composition ... 0.000 eV per atom
# Formation enthalpy at 0 K ... -0.22 eV per atom
# ρ ... 5.3 Mg/m³
data_CaBe3Ir
_chemical_formula_sum 'Ca1 Be3 Ir1'
_space_group_name_H-M_alt 'P m -3 m'
_space_group_IT_number 221
_space_group_name_Hall '-P 4 2 3'
_cell_length_a 4.3228
_cell_length_b 4.3228
_cell_length_c 4.3228
_cell_angle_alpha 90.00
_cell_angle_beta 90.00
_cell_angle_gamma 90.00
loop_
_atom_site_label
_atom_site_fract_x
_atom_site_fract_y
_atom_site_fract_z
Ca1 0.0000 0.0000 0.0000
Be1 0.0000 0.5000 0.5000
Ir1 0.5000 0.5000 0.5000

(3)
# Ca2BeIr PBE-GGA relaxed
# Electronic total energy ... -3.67 eV/atom
# Formation enthalpy at 0 K ... 0.48 eV per atom
# ρ ... 5.3 Mg/m³
data_Ca2BeIr
_chemical_formula_sum 'Ca6 Be3 Ir3'
_space_group_name_H-M_alt 'R -3 m'
_space_group_IT_number 166
_space_group_name_Hall '-R 3 2"'
_cell_length_a 3.4085
_cell_length_b 3.4085
_cell_length_c 26.5336
_cell_angle_alpha 90.00
_cell_angle_beta 90.00
_cell_angle_gamma 120.00
loop_
_atom_site_label
_atom_site_fract_x
_atom_site_fract_y
_atom_site_fract_z
Ca1 0.0000 0.0000 0.2457
Be1 0.0000 0.0000 0.0000
Ir1 0.0000 0.0000 0.5000

(4)
# CaBeIr2 PBE-GGA relaxed
# Electronic total energy ... -5.64 eV/atom
# Formation enthalpy at 0 K ... 0.23 eV per atom
# ρ ... 11.5 Mg/m³
data_CaBeIr2
_chemical_formula_sum 'Ca2 Be2 Ir4'
_space_group_name_H-M_alt 'I -4 m 2'
_space_group_IT_number 119
_space_group_name_Hall 'I -4 -2'
_cell_length_a 3.8838
_cell_length_b 3.8838
_cell_length_c 8.2964
_cell_angle_alpha 90.00
_cell_angle_beta 90.00
_cell_angle_gamma 90.00
loop_
_atom_site_label
_atom_site_fract_x
_atom_site_fract_y
_atom_site_fract_z
Ca1 0.0000 0.0000 0.0000
Be1 0.0000 0.5000 0.2500
Ir1 0.0000 0.0000 0.5000
Ir2 0.0000 0.5000 0.7500

Question: Number 2 is which compound?
Answer: CaBe3Ir

Repeat the first record exactly.
# Ca2BeIr PBE-GGA relaxed
# Electronic total energy ... -3.41 eV/atom
# Formation enthalpy at 0 K ... 0.74 eV per atom
# ρ ... 5.3 Mg/m³
data_Ca2BeIr
_chemical_formula_sum 'Ca8 Be4 Ir4'
_space_group_name_H-M_alt 'I -4 2 d'
_space_group_IT_number 122
_space_group_name_Hall 'I -4 2bw'
_cell_length_a 4.3042
_cell_length_b 4.3042
_cell_length_c 19.0015
_cell_angle_alpha 90.00
_cell_angle_beta 90.00
_cell_angle_gamma 90.00
loop_
_atom_site_label
_atom_site_fract_x
_atom_site_fract_y
_atom_site_fract_z
Ca1 0.2410 0.2500 0.1250
Be1 0.0000 0.0000 0.5000
Ir1 0.0000 0.0000 0.0000